Entry from the Alexandria database: an optimized crystal structure of KGaAg2Au (PBE-GGA).

For the formation energy, the calculation gives -0.012 eV/atom. The calculation puts the magnetic moment at 0.00 μB per formula unit.

The space group is P4/mmm (No. 123) and the conventional cell measures 5.106, 5.106 and 5.014 Å, with angles of 90.00, 90.00 and 90.00 degrees. The asymmetric unit holds K at (0.000, 0.000, 0.000), Ga at (0.500, 0.500, 0.500), Ag at (0.000, 0.500, 0.500) and Au at (0.500, 0.500, 0.000).